Record 1
A plane-wave DFT calculation with PBE was carried out for SrW2Br after structural relaxation.

The structure in CIF format:
```
data_SrW2Br
_cell_length_a 3.6796
_cell_length_b 3.6796
_cell_length_c 6.8908
_cell_angle_alpha 90.00
_cell_angle_beta 90.00
_cell_angle_gamma 90.00
_space_group_name_H-M_alt 'P 1'
_space_group_IT_number 1
_space_group_name_Hall 'P 1'
loop_
_atom_site_label
_atom_site_type_symbol
_atom_site_fract_x
_atom_site_fract_y
_atom_site_fract_z
Sr1 Sr 0.5000 0.5000 0.7500
Br1 Br 0.5000 0.5000 0.2500
W1 W 0.0000 0.0000 0.0782
W2 W 0.0000 0.0000 0.4218
```

Calculated values
Formation energy without anion corrections: 1.5788 eV/atom
Relative energy among the computed polymorphs: 1347 meV per atom

Record 2
A plane-wave DFT calculation with PBE was carried out for BaAgO3 after structural relaxation.

The structure in CIF format:
```
data_BaAgO3
_cell_length_a 4.2400
_cell_length_b 4.2400
_cell_length_c 10.4361
_cell_angle_alpha 78.28
_cell_angle_beta 78.28
_cell_angle_gamma 90.00
_space_group_name_H-M_alt 'P 1'
_space_group_IT_number 1
_space_group_name_Hall 'P 1'
loop_
_atom_site_label
_atom_site_type_symbol
_atom_site_fract_x
_atom_site_fract_y
_atom_site_fract_z
O1 O 0.2386 0.9085 0.1831
O2 O 0.0915 0.7614 0.8169
O3 O 0.0915 0.4216 0.8169
O4 O 0.5784 0.9085 0.1831
O5 O 0.2572 0.2572 0.4855
O6 O 0.7428 0.7428 0.5145
Ba1 Ba 0.6547 0.1547 0.6906
Ba2 Ba 0.8453 0.3453 0.3094
Ag1 Ag 0.0000 0.0000 0.0000
Ag2 Ag 0.2500 0.7500 0.5000
```

Calculated values
Formation energy without anion corrections: -1.0417 eV/atom

Record 3
A plane-wave DFT calculation with PBE was carried out for NdEr2 after structural relaxation.

The structure in CIF format:
```
data_NdEr2
_cell_length_a 3.5938
_cell_length_b 3.5933
_cell_length_c 8.8372
_cell_angle_alpha 90.00
_cell_angle_beta 78.19
_cell_angle_gamma 60.01
_space_group_name_H-M_alt 'P 1'
_space_group_IT_number 1
_space_group_name_Hall 'P 1'
loop_
_atom_site_label
_atom_site_type_symbol
_atom_site_fract_x
_atom_site_fract_y
_atom_site_fract_z
Nd1 Nd 0.5279 0.9776 0.9922
Er1 Er 0.9690 0.7569 0.3297
Er2 Er 0.0867 0.1982 0.6547
```

Calculated values
Energy of formation: -6 meV per atom
Relative energy among the computed polymorphs: 0 meV per atom

Record 4
A plane-wave DFT calculation with PBE was carried out for RbInAgBi2 after structural relaxation.

The structure in CIF format:
```
data_RbInAgBi2
_cell_length_a 4.6710
_cell_length_b 4.6710
_cell_length_c 8.4227
_cell_angle_alpha 106.10
_cell_angle_beta 106.10
_cell_angle_gamma 90.00
_space_group_name_H-M_alt 'P 1'
_space_group_IT_number 1
_space_group_name_Hall 'P 1'
loop_
_atom_site_label
_atom_site_type_symbol
_atom_site_fract_x
_atom_site_fract_y
_atom_site_fract_z
Rb1 Rb 0.0000 0.0000 0.0000
In1 In 0.2500 0.7500 0.5000
Ag1 Ag 0.7500 0.2500 0.5000
Bi1 Bi 0.6266 0.6266 0.2531
Bi2 Bi 0.3734 0.3734 0.7469
```

Calculated values
Energy of formation: -139 meV per atom

Record 5
A plane-wave DFT calculation with PBE was carried out for Sc5TeSe4 after structural relaxation.

The structure in CIF format:
```
data_Sc5TeSe4
_cell_length_a 3.9299
_cell_length_b 5.5712
_cell_length_c 10.4259
_cell_angle_alpha 105.50
_cell_angle_beta 100.86
_cell_angle_gamma 90.00
_space_group_name_H-M_alt 'P 1'
_space_group_IT_number 1
_space_group_name_Hall 'P 1'
loop_
_atom_site_label
_atom_site_type_symbol
_atom_site_fract_x
_atom_site_fract_y
_atom_site_fract_z
Sc1 Sc 0.6113 0.1113 0.2227
Sc2 Sc 0.8018 0.3018 0.6036
Sc3 Sc 0.1982 0.6982 0.3964
Sc4 Sc 0.0000 0.5000 0.0000
Sc5 Sc 0.3887 0.8887 0.7773
Te1 Te 0.0000 0.0000 0.0000
Se1 Se 0.3998 0.3998 0.7997
Se2 Se 0.7952 0.7952 0.5903
Se3 Se 0.2048 0.2048 0.4097
Se4 Se 0.6002 0.6002 0.2003
```

Calculated values
Formation energy without anion corrections: -1.4726 eV/atom

Record 6
A plane-wave DFT calculation with PBE was carried out for NpZnO5 after structural relaxation.

The structure in CIF format:
```
data_NpZnO5
_cell_length_a 5.3176
_cell_length_b 7.6161
_cell_length_c 10.3375
_cell_angle_alpha 90.00
_cell_angle_beta 90.00
_cell_angle_gamma 114.95
_space_group_name_H-M_alt 'P 1'
_space_group_IT_number 1
_space_group_name_Hall 'P 1'
loop_
_atom_site_label
_atom_site_type_symbol
_atom_site_fract_x
_atom_site_fract_y
_atom_site_fract_z
Np1 Np 0.7146 0.2543 0.0234
Np2 Np 0.7854 0.2457 0.5234
Np3 Np 0.2854 0.7457 0.9766
Np4 Np 0.2146 0.7543 0.4766
Zn1 Zn 0.2961 0.3906 0.7506
Zn2 Zn 0.2039 0.1094 0.2506
Zn3 Zn 0.7039 0.6094 0.2494
Zn4 Zn 0.7961 0.8906 0.7494
O1 O 0.0488 0.4077 0.9097
O2 O 0.4512 0.0923 0.4097
O3 O 0.9512 0.5923 0.0903
O4 O 0.5488 0.9077 0.5903
O5 O 0.1523 0.4932 0.5903
O6 O 0.3477 0.0068 0.0903
O7 O 0.8477 0.5068 0.4097
O8 O 0.6523 0.9932 0.9097
O9 O 0.0059 0.1924 0.4063
O10 O 0.4941 0.3076 0.9063
O11 O 0.9941 0.8076 0.5937
O12 O 0.5059 0.6924 0.0937
O13 O 0.9297 0.1893 0.1385
O14 O 0.5703 0.3107 0.6385
O15 O 0.0703 0.8107 0.8615
O16 O 0.4297 0.6893 0.3615
O17 O 0.9847 0.1564 0.6846
O18 O 0.5153 0.3436 0.1846
O19 O 0.0153 0.8436 0.3154
O20 O 0.4847 0.6564 0.8154
```

Calculated values
Formation energy without anion corrections: -1.7924 eV/atom

Record 7
A plane-wave DFT calculation with PBE was carried out for Ga2AsHAu after structural relaxation.

The structure in CIF format:
```
data_Ga2AsHAu
_cell_length_a 5.0464
_cell_length_b 5.1046
_cell_length_c 5.0464
_cell_angle_alpha 90.00
_cell_angle_beta 90.00
_cell_angle_gamma 90.00
_space_group_name_H-M_alt 'P 1'
_space_group_IT_number 1
_space_group_name_Hall 'P 1'
loop_
_atom_site_label
_atom_site_type_symbol
_atom_site_fract_x
_atom_site_fract_y
_atom_site_fract_z
H1 H 0.5000 0.5000 0.5000
As1 As 0.0000 0.5000 0.0000
Au1 Au 0.0000 0.0000 0.0000
Ga1 Ga 0.0000 0.0000 0.5000
Ga2 Ga 0.5000 0.0000 0.0000
```

Calculated values
Energy: -13.42 eV per cell

Record 8
A plane-wave DFT calculation with PBE was carried out for NaY2Cd after structural relaxation.

The structure in CIF format:
```
data_NaY2Cd
_cell_length_a 8.6845
_cell_length_b 8.6845
_cell_length_c 6.9421
_cell_angle_alpha 51.28
_cell_angle_beta 51.28
_cell_angle_gamma 90.00
_space_group_name_H-M_alt 'P 1'
_space_group_IT_number 1
_space_group_name_Hall 'P 1'
loop_
_atom_site_label
_atom_site_type_symbol
_atom_site_fract_x
_atom_site_fract_y
_atom_site_fract_z
Y1 Y 0.6480 0.1250 0.2500
Y2 Y 0.1020 0.6250 0.2500
Y3 Y 0.3750 0.3520 0.7500
Y4 Y 0.8750 0.8980 0.7500
Na1 Na 0.5000 0.5000 0.0000
Na2 Na 0.2500 0.7500 0.5000
Cd1 Cd 0.0000 0.0000 0.0000
Cd2 Cd 0.7500 0.2500 0.5000
```

Calculated values
Energy of formation: 278 meV per atom

Number 1: magnetic moment 0.0001 μB per atom, density 9.53 g/cm³. Number 2: magnetic moment 0.0707 μB per atom, density 5.42 g/cm³. Number 3: magnetic moment 0.0000 μB per atom, density 8.28 g/cm³. Number 4: magnetic moment 0.0000 μB per atom, density 7.13 g/cm³. Number 5: magnetic moment 0.0000 μB per atom, density 5.14 g/cm³. Number 6: magnetic moment 0.1308 μB per atom, density 6.69 g/cm³. Number 7: magnetic moment 0.0000 μB per atom, density 5.27 g/cm³. Number 8: magnetic moment 0.0000 μB per atom, density 4.26 g/cm³.